[1]
Density functional theory data (PBE-GGA) for crystalline LiIn3Ga at its relaxed geometry.

Computed properties:
magnetization	0.00	μB/f.u.
total DFT energy (no corrections)	-53.6	eV per cell
E_form	-0.0512	eV/atom
calculated volume	23.629	Å³ per atom

abc: 6.967 6.249 10.854
angles: 90.00 90.00 90.00
Space group Pnma (No. 62)
Symmetry-distinct sites (fractional):
1 Li 0.179 0.250 0.075 [4 per cell]
2 In 0.164 0.750 0.085 [4 per cell]
3 In 0.191 0.508 0.811 [8 per cell]
4 Ga 0.000 0.000 0.500 [4 per cell]



[2]
Density functional theory data (PBE-GGA) for crystalline Li2In2Ga at its relaxed geometry.

Computed properties:
magnetization	0.00	μB/f.u.
total DFT energy (no corrections)	-26.7	eV per cell
E_form	-0.2018	eV/atom
calculated volume	20.019	Å³ per atom

abc: 9.560 4.228 6.807
angles: 90.00 133.31 90.00
Space group C2/m (No. 12)
Symmetry-distinct sites (fractional):
1 Li 0.213 0.000 0.316 [4 per cell]
2 In 0.089 0.500 0.885 [4 per cell]
3 Ga 0.000 0.000 0.500 [2 per cell]



[3]
Density functional theory data (PBE-GGA) for crystalline Li2MgIn5Ga at its relaxed geometry.

Computed properties:
magnetization	0.00	μB/f.u.
total DFT energy (no corrections)	-89.9	eV per cell
E_form	-0.0375	eV/atom
calculated volume	22.908	Å³ per atom

abc: 6.847 6.847 17.593
angles: 90.00 90.00 90.00
Space group I4/mcm (No. 140)
Symmetry-distinct sites (fractional):
1 Li 0.130 0.370 0.000 [8 per cell]
2 Mg 0.000 0.000 0.250 [4 per cell]
3 In 0.000 0.000 0.000 [4 per cell]
4 In 0.197 0.303 0.370 [16 per cell]
5 Ga 0.000 0.500 0.250 [4 per cell]



[4]
Density functional theory data (PBE-GGA) for crystalline LiMgInGa at its relaxed geometry.

Computed properties:
magnetization	0.00	μB/f.u.
total DFT energy (no corrections)	-10.0	eV per cell
E_form	-0.1939	eV/atom
calculated volume	19.721	Å³ per atom

abc: 4.197 4.286 4.385
angles: 90.00 90.00 90.00
Space group Pmmm (No. 47)
Symmetry-distinct sites (fractional):
1 Li 0.000 0.000 0.000 [1 per cell]
2 Mg 0.500 0.000 0.500 [1 per cell]
3 In 0.500 0.500 0.000 [1 per cell]
4 Ga 0.000 0.500 0.500 [1 per cell]



[5]
Density functional theory data (PBE-GGA) for crystalline Li5Mg2InGa2 at its relaxed geometry.

Computed properties:
magnetization	0.00	μB/f.u.
total DFT energy (no corrections)	-46.6	eV per cell
E_form	-0.1748	eV/atom
calculated volume	19.061	Å³ per atom

abc: 9.214 9.214 4.490
angles: 90.00 90.00 90.00
Space group P4/mbm (No. 127)
Symmetry-distinct sites (fractional):
1 Li 0.000 0.500 0.000 [2 per cell]
2 Li 0.068 0.209 0.000 [8 per cell]
3 Mg 0.184 0.684 0.500 [4 per cell]
4 In 0.000 0.000 0.500 [2 per cell]
5 Ga 0.110 0.390 0.500 [4 per cell]



[6]
Density functional theory data (PBE-GGA) for crystalline Li2MgInGa at its relaxed geometry.

Computed properties:
magnetization	0.00	μB/f.u.
total DFT energy (no corrections)	-9.8	eV per cell
E_form	0.2784	eV/atom
calculated volume	28.179	Å³ per atom

abc: 5.152 5.152 5.309
angles: 90.00 90.00 90.00
Space group P4/mmm (No. 123)
Symmetry-distinct sites (fractional):
1 Li 0.000 0.500 0.000 [2 per cell]
2 Mg 0.000 0.000 0.500 [1 per cell]
3 In 0.000 0.000 0.000 [1 per cell]
4 Ga 0.500 0.500 0.500 [1 per cell]



Question: Which formula does entry 3 have?
Answer: Li2MgIn5Ga



Question: Which of these has the lowest calculated volume?
Answer: Li5Mg2InGa2



Question: What is the magnetization in the fourth record?
Answer: 0.00 μB/f.u.